(1)
SiTc2 | PBE-GGA | relaxed

Output
Electronic total energy   -8.32 eV/atom
Total magnetic moment   0.00 μB/f.u.
Formation energy without anion corrections   398 meV/atom

Unit cell a=5.0317 b=5.0317 c=8.4723 alpha=90.00 beta=90.00 gamma=120.00
Closest atoms and distances in Å follow each position.
Fractional positions:
Tc1 0.0000 0.0000 0.5000  6 Tc 2.61
Tc2 0.3487 0.1743 0.2500  6 Tc 2.40-2.63
Tc3 0.1743 0.8257 0.7500  6 Tc 2.40-2.63
Tc4 0.8257 0.1743 0.2500  6 Tc 2.40-2.63
Tc5 0.6513 0.8257 0.7500  6 Tc 2.40-2.63
Tc6 0.1743 0.3487 0.7500  6 Tc 2.40-2.63
Tc7 0.8257 0.6513 0.2500  6 Tc 2.40-2.63
Tc8 0.0000 0.0000 0.0000  6 Tc 2.61
Si1 0.3333 0.6667 0.4180  1 Si 2.85, 12 Tc 2.89-3.14
Si2 0.6667 0.3333 0.5820  1 Si 2.85, 12 Tc 2.89-3.14
Si3 0.3333 0.6667 0.0820  1 Si 2.85, 12 Tc 2.89-3.14
Si4 0.6667 0.3333 0.9180  1 Si 2.85, 12 Tc 2.89-3.14

***

(2)
SiTc2 | PBE-GGA | relaxed

Output
Electronic total energy   -9.01 eV/atom
Total magnetic moment   0.00 μB/f.u.
Formation energy without anion corrections   -295 meV/atom

Unit cell a=4.2284 b=4.7755 c=5.0669 alpha=64.33 beta=65.58 gamma=71.78
Closest atoms and distances in Å follow each position.
Fractional positions:
Tc1 0.3750 0.2339 0.1050  4 Si 2.52-2.65, 5 Tc 2.63-2.80
Tc2 0.0693 0.2248 0.7293  4 Si 2.54-2.61, 5 Tc 2.61-2.80
Tc3 0.9307 0.7752 0.2707  4 Si 2.54-2.61, 5 Tc 2.61-2.80
Tc4 0.6250 0.7661 0.8950  4 Si 2.52-2.65, 5 Tc 2.63-2.80
Si1 0.2905 0.7198 0.6075  8 Tc 2.52-2.65, 1 Si 2.61
Si2 0.7095 0.2802 0.3925  8 Tc 2.52-2.65, 1 Si 2.61

***

(3)
SiTc | PBE-GGA | relaxed

Output
Electronic total energy   -8.11 eV/atom
Total magnetic moment   0.00 μB/f.u.
Formation energy without anion corrections   -211 meV/atom

Unit cell a=6.9640 b=6.9639 c=4.4912 alpha=90.00 beta=90.00 gamma=120.00
Closest atoms and distances in Å follow each position.
Fractional positions:
Tc1 0.2380 0.0000 0.2500  5 Si 2.45-2.55
Tc2 0.7620 0.0000 0.7500  5 Si 2.45-2.55
Tc3 0.2380 0.2380 0.7500  5 Si 2.45-2.55
Tc4 0.0000 0.7620 0.7500  5 Si 2.45-2.55
Tc5 0.0000 0.2380 0.2500  5 Si 2.45-2.55
Tc6 0.7620 0.7620 0.2500  5 Si 2.45-2.55
Si1 0.4100 0.4100 0.2500  5 Tc 2.45-2.55, 2 Si 2.57
Si2 0.0000 0.4100 0.7500  5 Tc 2.45-2.55, 2 Si 2.57
Si3 0.5900 0.5900 0.7500  5 Tc 2.45-2.55, 2 Si 2.57
Si4 0.4100 0.0000 0.7500  5 Tc 2.45-2.55, 2 Si 2.57
Si5 0.5900 0.0000 0.2500  5 Tc 2.45-2.55, 2 Si 2.57
Si6 0.0000 0.5900 0.2500  5 Tc 2.45-2.55, 2 Si 2.57

***

(4)
SiTc2 | PBE-GGA | relaxed

Output
Electronic total energy   -8.69 eV/atom
Total magnetic moment   0.00 μB/f.u.
Formation energy without anion corrections   29 meV/atom

Unit cell a=10.5596 b=10.5596 c=10.5596 alpha=164.31 beta=164.31 gamma=22.25
Closest atoms and distances in Å follow each position.
Fractional positions:
Si1 0.7500 0.2500 0.5000  8 Tc 2.55
Si2 0.0000 0.0000 0.0000  8 Tc 2.55
Tc1 0.5736 0.5736 0.0000  4 Si 2.55, 2 Tc 2.57
Tc2 0.1764 0.6764 0.5000  4 Si 2.55, 2 Tc 2.57
Tc3 0.3236 0.8236 0.5000  4 Si 2.55, 2 Tc 2.57
Tc4 0.4264 0.4264 0.0000  4 Si 2.55, 2 Tc 2.57

***

Number 1: E above lowest polymorph 808.3 meV/atom. Number 2: E above lowest polymorph 115.2 meV/atom. Number 3: E above lowest polymorph 309.8 meV/atom. Number 4: E above lowest polymorph 439.3 meV/atom.